# 1
First-principles (PBEsol) data for a relaxed KCaRh2 crystal, as listed in Alexandria via LeMat-Bulk.

a = 4.218 Å, b = 4.218 Å, c = 8.357 Å
α = 75.38°, β = 75.38°, γ = 60.00°
Last column: magnetic moment on the atom in μB.
Fractional coordinates of all 4 atoms:
Ca 0.453 0.453 0.641  0.00
K 0.283 0.283 0.150  0.00
Rh 0.049 0.049 0.854  0.42
Rh 0.715 0.715 0.855  0.42

Computed properties:
**Energy above the most stable polymorph in this dataset**: 0 meV per atom
**DFT formation energy**: 0.8 eV/f.u.
**Symmetry**: No. 160
**E_tot**: -18.8 eV for the cell shown
**DOS at the Fermi energy**: 1.41 states/eV per atom

---

# 2
First-principles (PBEsol) data for a relaxed Li2Cu7F16 crystal, as listed in Alexandria via LeMat-Bulk.

a = 6.899 Å, b = 5.805 Å, c = 8.919 Å
α = 86.47°, β = 116.38°, γ = 113.80°
Last column: magnetic moment on the atom in μB.
Fractional coordinates of all 25 atoms:
Li 0.200 0.603 0.963  0.00
Li 0.800 0.397 0.037  0.00
Cu 0.699 0.232 0.628  0.69
Cu 0.444 0.532 0.695  0.71
Cu 0.901 0.111 0.342  0.81
Cu 0.000 0.000 0.000  0.69
Cu 0.099 0.889 0.658  0.81
Cu 0.556 0.468 0.305  0.71
Cu 0.301 0.768 0.372  0.69
F 0.235 0.647 0.745  0.10
F 0.465 0.139 0.388  0.14
F 0.708 0.666 0.915  0.12
F 0.894 0.318 0.860  0.07
F 0.235 0.429 0.445  0.13
F 0.937 0.121 0.575  0.14
F 0.873 0.097 0.119  0.12
F 0.420 0.199 0.726  0.12
F 0.580 0.801 0.274  0.12
F 0.127 0.903 0.881  0.12
F 0.063 0.879 0.425  0.14
F 0.765 0.571 0.555  0.13
F 0.106 0.682 0.140  0.07
F 0.292 0.334 0.085  0.12
F 0.535 0.861 0.612  0.14
F 0.765 0.353 0.255  0.10

Computed properties:
**Raw formation energy**: -41.81 eV per formula unit
**Symmetry**: No. 2
**E_tot**: -106.9 eV for the cell shown
**DOS at the Fermi energy**: 0.37 states/eV per atom

---

# 3
First-principles (PBEsol) data for a relaxed AgHg2 crystal, as listed in Alexandria via LeMat-Bulk.

a = 3.223 Å, b = 8.058 Å, c = 8.058 Å
α = 120.00°, β = 90.00°, γ = 90.00°
Fractional coordinates of all 9 atoms:
Ag 0.500 0.000 0.000
Ag 0.000 0.667 0.333
Ag 0.000 0.333 0.667
Hg 0.000 0.000 0.291
Hg 0.500 0.000 0.621
Hg 0.000 0.709 0.709
Hg 0.000 0.291 0.000
Hg 0.500 0.379 0.379
Hg 0.500 0.621 0.000

Computed properties:
**Energy above the most stable polymorph in this dataset**: 22 meV per atom
**DFT formation energy**: 0.2 eV/f.u.
**Symmetry**: No. 189
**E_tot**: -12.9 eV for the cell shown
**DOS at the Fermi energy**: 0.31 states/eV per atom

---

# 4
First-principles (PBEsol) data for a relaxed KBa2Ta crystal, as listed in Alexandria via LeMat-Bulk.

a = 3.623 Å, b = 3.623 Å, c = 13.270 Å
α = 82.15°, β = 82.15°, γ = 60.00°
Fractional coordinates of all 4 atoms:
Ba 0.266 0.266 0.201
Ba 0.734 0.734 0.799
K 0.500 0.500 0.500
Ta 0.000 0.000 0.000

Computed properties:
**Energy above the most stable polymorph in this dataset**: 0 meV per atom
**DFT formation energy**: 3.5 eV/f.u.
**Symmetry**: No. 166
**E_tot**: -14.5 eV for the cell shown
**DOS at the Fermi energy**: 0.85 states/eV per atom

---

# 5
First-principles (PBEsol) data for a relaxed ScSb2TeC crystal, as listed in Alexandria via LeMat-Bulk.

a = 5.301 Å, b = 5.382 Å, c = 5.382 Å
α = 90.00°, β = 90.00°, γ = 90.00°
Last column: magnetic moment on the atom in μB.
Fractional coordinates of all 5 atoms:
Sc 0.000 0.000 0.000  0.03
Sb 0.000 0.000 0.500  -0.03
Sb 0.000 0.500 0.000  -0.03
C 0.500 0.500 0.500  0.90
Te 0.500 0.000 0.000  0.02

Computed properties:
**Raw formation energy**: 7.57 eV per formula unit
**Symmetry**: No. 123
**E_tot**: -21.3 eV for the cell shown
**DOS at the Fermi energy**: 1.10 states/eV per atom

---

# 6
First-principles (PBEsol) data for a relaxed TaCdCo crystal, as listed in Alexandria via LeMat-Bulk.

a = 2.945 Å, b = 2.945 Å, c = 6.479 Å
α = 90.00°, β = 90.00°, γ = 120.00°
Fractional coordinates of all 3 atoms:
Cd 0.000 0.000 0.981
Co 0.667 0.333 0.644
Ta 0.333 0.667 0.375

Computed properties:
**DFT formation energy**: 0.8 eV/f.u.
**Symmetry**: No. 156
**E_tot**: -20.7 eV for the cell shown
**DOS at the Fermi energy**: 0.90 states/eV per atom